Below is crystalline Rb2Tl5Cd at its relaxed geometry, with properties calculated at the GGA-PBE level.

Computed properties:
Crystal system: monoclinic
Formation energy from the elements (eV per atom): -0.002
Energy above the most stable polymorph in this dataset (meV/atom): 0
Calculated volume (Å³/f.u.): 319

abc: 8.796 8.232 8.232
angles: 63.03 132.96 132.96
Fractional positions:
1 Rb 0.500 0.776 0.277
2 Rb 0.500 0.277 0.776
3 Tl 0.000 0.838 0.230
4 Tl 0.531 0.292 0.292
5 Tl 0.469 0.763 0.763
6 Tl 0.000 0.230 0.838
7 Tl 0.000 0.384 0.384
8 Cd 0.000 0.662 0.662

***

Below is crystalline PaSb2Ru at its relaxed geometry, with properties calculated at the GGA-PBE level.

Computed properties:
Crystal system: tetragonal
Calculated volume (Å³/f.u.): 90
Uncorrected formation energy (meV/atom): -516

abc: 4.415 4.415 9.729
angles: 103.11 103.11 90.00
Fractional positions:
1 Pa 0.133 0.133 0.266
2 Pa 0.867 0.867 0.734
3 Sb 0.000 0.500 0.000
4 Sb 0.500 0.000 0.000
5 Sb 0.336 0.336 0.672
6 Sb 0.664 0.664 0.328
7 Ru 0.250 0.750 0.500
8 Ru 0.750 0.250 0.500

***

Below is crystalline AlOs2Pt at its relaxed geometry, with properties calculated at the GGA-PBE level.

Computed properties:
Crystal system: tetragonal
Formation energy from the elements (eV per atom): -0.288
Calculated volume (Å³/f.u.): 58

abc: 2.793 2.793 7.454
angles: 90.00 90.00 90.00
Fractional positions:
1 Os 0.000 0.000 0.002
2 Os 0.500 0.500 0.232
3 Al 0.500 0.500 0.752
4 Pt 0.000 0.000 0.514

***

Below is crystalline La2PO at its relaxed geometry, with properties calculated at the GGA-PBE level.

Computed properties:
Crystal system: monoclinic
Energy above the most stable polymorph in this dataset (meV/atom): 29
Calculated volume (Å³/f.u.): 92
Uncorrected formation energy (meV/atom): -2124

abc: 5.784 5.799 10.988
angles: 91.11 90.00 90.00
Fractional positions:
1 La 0.768 0.997 0.890
2 La 0.232 0.003 0.110
3 La 0.768 0.503 0.610
4 La 0.232 0.497 0.390
5 La 0.759 0.476 0.139
6 La 0.241 0.524 0.861
7 La 0.759 0.024 0.361
8 La 0.241 0.976 0.639
9 P 0.257 0.998 0.375
10 P 0.743 0.002 0.625
11 P 0.257 0.502 0.125
12 P 0.743 0.498 0.875
13 O 0.208 0.544 0.624
14 O 0.792 0.456 0.376
15 O 0.208 0.956 0.876
16 O 0.792 0.044 0.124

***

In order of appearance, electronic total energy = -1.837, -7.270, -8.349, -7.179 eV per atom.